No. 1
Material: NiAsSe2Br
Method: DFT, PBE-GGA
State: optimized geometry

Cell: 4.5604 4.5604 5.2509 Å, 90.00 90.00 90.00°
With the nearest neighbours (Å) after each atom.
Fractional positions:
Br1 0.5000 0.5000 0.5000  4 As 3.22, 8 Se 3.48
Ni1 0.0000 0.0000 0.0000  4 Se 2.28
Se1 0.0000 0.5000 0.0000  2 Ni 2.28
As1 0.0000 0.0000 0.5000  2 Ni 2.63
Se2 0.5000 0.0000 0.0000  2 Ni 2.28

Distance to the lowest polymorph of the same formula: 0.015 eV/atom
Total magnetic moment: 0.000 Bohr magnetons per cell
Symmetry: No. 123
Density: 5.65 Mg/m³
Volume: 109 Å³ per cell
Raw formation energy: 0.4213 eV per atom
DOS(E_F): 6.57 states/eV/f.u.

No. 2
Material: TlRuN3
Method: DFT, PBE-GGA
State: optimized geometry

Cell: 3.9503 3.9503 3.9503 Å, 90.00 90.00 90.00°
With the nearest neighbours (Å) after each atom.
Fractional positions:
Ru1 0.0000 0.0000 0.0000  6 N 1.98
Tl1 0.5000 0.5000 0.5000  12 N 2.79
N1 0.0000 0.5000 0.0000  2 Ru 1.98
N2 0.5000 0.0000 0.0000  2 Ru 1.98
N3 0.0000 0.0000 0.5000  2 Ru 1.98

Total magnetic moment: 0.000 Bohr magnetons per cell
Symmetry: No. 221
Density: 9.36 Mg/m³
Volume: 62 Å³ per cell
Raw formation energy: 1.2125 eV per atom
DOS(E_F): 4.13 states/eV/f.u.

No. 3
Material: Al2SiNi
Method: DFT, PBE-GGA
State: optimized geometry

Cell: 5.9477 5.9477 5.9477 Å, 154.53 139.32 48.61°
With the nearest neighbours (Å) after each atom.
Fractional positions:
Al1 0.6981 0.1981 0.5000  2 Ni 2.54, 2 Al 2.62, 4 Si 2.73
Al2 0.9954 0.9954 0.0000  4 Ni 2.45, 2 Al 2.62
Ni1 0.4972 0.4972 0.0000  2 Si 2.42, 6 Al 2.45-2.54, 2 Ni 2.62
Si1 0.3092 0.8092 0.5000  2 Ni 2.42, 2 Si 2.62

Distance to the lowest polymorph of the same formula: 0.094 eV/atom
Total magnetic moment: 0.000 Bohr magnetons per cell
Symmetry: No. 44
Density: 3.98 Mg/m³
Volume: 59 Å³ per cell
Raw formation energy: -0.2194 eV per atom
DOS(E_F): 1.70 states/eV/f.u.

No. 4
Material: ZnCrHg2
Method: DFT, PBE-GGA
State: optimized geometry

Cell: 5.0934 5.0934 5.0934 Å, 129.72 129.76 73.82°
With the nearest neighbours (Å) after each atom.
Fractional positions:
Zn1 0.7500 0.2500 0.5000  8 Hg 2.97, 4 Cr 3.06
Cr1 0.2500 0.7500 0.5000  8 Hg 2.97, 4 Zn 3.06
Hg1 0.9999 0.9999 0.0000  4 Cr 2.97, 4 Zn 2.97, 4 Hg 3.06
Hg2 0.5001 0.5001 0.0000  4 Cr 2.97, 4 Zn 2.97, 4 Hg 3.06

Distance to the lowest polymorph of the same formula: 0.012 eV/atom
Total magnetic moment: 4.082 Bohr magnetons per cell
Symmetry: No. 139
Density: 11.30 Mg/m³
Formation energy: 0.3019 eV/atom
Volume: 76 Å³ per cell
DOS(E_F): 1.53 states/eV/f.u.

No. 5
Material: SmCu4Pt2
Method: DFT, PBE-GGA
State: optimized geometry

Cell: 5.8051 5.8051 5.8051 Å, 102.56 102.56 124.41°
With the nearest neighbours (Å) after each atom.
Fractional positions:
Pt1 0.2500 0.7500 0.5000  4 Cu 2.44, 2 Pt 2.71
Cu1 0.5000 0.2790 0.7790  2 Cu 2.27, 2 Pt 2.44
Pt2 0.7500 0.2500 0.5000  4 Cu 2.44, 2 Pt 2.71
Sm1 0.0000 0.0000 0.0000  8 Cu 3.15
Cu2 0.2790 0.5000 0.7790  2 Cu 2.27, 2 Pt 2.44
Cu3 0.5000 0.7210 0.2210  2 Cu 2.27, 2 Pt 2.44
Cu4 0.7210 0.5000 0.2210  2 Cu 2.27, 2 Pt 2.44

Total magnetic moment: 0.000 Bohr magnetons per cell
Symmetry: No. 139
Density: 9.24 Mg/m³
Formation energy: 0.1708 eV/atom
Volume: 143 Å³ per cell
DOS(E_F): 4.63 states/eV/f.u.

No. 6
Material: BPt2Au
Method: DFT, PBE-GGA
State: optimized geometry

Cell: 2.7724 2.7724 7.2646 Å, 90.00 90.00 90.00°
With the nearest neighbours (Å) after each atom.
Fractional positions:
Pt1 0.0000 0.0000 0.1845  4 B 2.37
B1 0.5000 0.5000 0.0000  8 Pt 2.37
Pt2 0.0000 0.0000 0.8155  4 B 2.37
Au1 0.5000 0.5000 0.5000  4 Au 2.77, 8 Pt 3.02

Total magnetic moment: 0.000 Bohr magnetons per cell
Symmetry: No. 123
Density: 17.78 Mg/m³
Formation energy: 0.0399 eV/atom
Volume: 56 Å³ per cell
DOS(E_F): 1.20 states/eV/f.u.